BeNbP2N6 after structural relaxation, computed with PBE-GGA.

Output
Magnetization in μB/cell: 2.01
DOS at the Fermi energy in states/eV per atom: 0.036
Space-group type: C2/c, No. 15
Formation energy from raw total energies in meV/atom: -396

Lattice parameters (Å, degrees): 6.6769 6.6769 5.2470 107.14 107.14 88.76
Closest atoms and distances in Å follow each position.
Atoms (fractional coordinates):
Be  0.1912  0.8088  0.7500  4 N 1.74-1.76
Be  0.8088  0.1912  0.2500  4 N 1.74-1.76
Nb  0.1306  0.8694  0.2500  4 N 1.98-2.10
Nb  0.8694  0.1306  0.7500  4 N 1.98-2.10
P  0.2324  0.3967  0.3193  4 N 1.61-1.64
P  0.3967  0.2324  0.8193  4 N 1.61-1.64
P  0.6033  0.7676  0.1807  4 N 1.61-1.64
P  0.7676  0.6033  0.6807  4 N 1.61-1.64
N  0.0463  0.2050  0.1729  1 P 1.64, 1 Be 1.76
N  0.1582  0.6363  0.4158  1 P 1.64, 1 Be 1.74
N  0.2050  0.0463  0.6729  1 P 1.64, 1 Be 1.76
N  0.3427  0.3949  0.0822  2 P 1.61-1.62
N  0.3637  0.8418  0.0842  1 P 1.64, 1 Be 1.74
N  0.3949  0.3427  0.5822  2 P 1.61-1.62
N  0.6051  0.6573  0.4178  2 P 1.61-1.62
N  0.6363  0.1582  0.9158  1 P 1.64, 1 Be 1.74
N  0.6573  0.6051  0.9178  2 P 1.61-1.62
N  0.7950  0.9537  0.3271  1 P 1.64, 1 Be 1.76
N  0.8418  0.3637  0.5842  1 P 1.64, 1 Be 1.74
N  0.9537  0.7950  0.8271  1 P 1.64, 1 Be 1.76

=====

CaCd2W after structural relaxation, computed with PBE-GGA.

Output
Formation enthalpy at 0 K in eV per atom: 0.5489
Excess energy over the best structure of this formula in the dataset in meV per atom: 137.2
Magnetization in μB/cell: 0.00
DOS at the Fermi energy in states/eV per atom: 0.518
Space-group type: Cm, No. 8

Lattice parameters (Å, degrees): 5.5382 5.5382 5.3951 102.57 102.57 31.68
Closest atoms and distances in Å follow each position.
Atoms (fractional coordinates):
Ca  0.0000  0.0000  0.0000  7 Cd 2.99-3.19, 2 Ca 3.02, 3 W 3.19-3.30
Cd  0.2398  0.2398  0.7673  4 Cd 3.02-3.09, 4 W 3.06-3.14, 3 Ca 3.09-3.16
Cd  0.4978  0.4978  0.4781  3 W 2.97-3.16, 4 Ca 2.99-3.19, 4 Cd 3.02-3.09
W  0.7562  0.7562  0.2832  7 Cd 2.97-3.16, 2 W 3.02, 3 Ca 3.19-3.30

=====

Er8HgOs2 after structural relaxation, computed with PBE-GGA.

Output
Formation enthalpy at 0 K in eV per atom: -0.2490
Magnetization in μB/cell: 0.00
DOS at the Fermi energy in states/eV per atom: 0.682
Space-group type: Imm2, No. 44

Lattice parameters (Å, degrees): 8.9541 8.9541 8.9541 146.59 57.43 134.71
Closest atoms and distances in Å follow each position.
Atoms (fractional coordinates):
Er  0.0000  0.0000  0.0000  2 Os 2.93, 2 Er 3.23, 2 Hg 3.27
Er  0.2529  0.5871  0.6657  1 Hg 2.96, 3 Os 3.05-3.16, 3 Er 3.24
Er  0.3374  0.4480  0.8894  1 Os 2.73
Er  0.4181  0.1285  0.2896  3 Os 2.84-2.97
Er  0.5586  0.4480  0.1106  1 Os 2.73
Er  0.7161  0.2161  0.5000  1 Hg 2.92, 2 Er 3.23
Er  0.8389  0.1285  0.7104  3 Os 2.84-2.97
Er  0.9214  0.5871  0.3343  1 Hg 2.96, 3 Os 3.05-3.16, 3 Er 3.24
Hg  0.2929  0.7929  0.5000  3 Er 2.92-2.96
Os  0.6512  0.8204  0.8308  6 Er 2.73-3.05
Os  0.9896  0.8204  0.1692  6 Er 2.73-3.05